This record from OQMD via LeMat-Bulk describes a geometry-optimized Dy2ErNi2B2N3 structure. The functional is GGA-PBE.

Cell: 10.2761 10.2761 10.2761 Å, 160.62 160.62 27.53°
Closest atoms and distances in Å follow each position.
Sites, in units of the cell vectors:
1 B 0.1889 0.1889 0.0000  1 N 1.46
2 B 0.8111 0.8111 0.0000  1 N 1.46
3 Dy 0.3771 0.3771 0.0000  5 N 2.45
4 Dy 0.6229 0.6229 0.0000  5 N 2.45
5 Er 0.0000 0.0000 0.0000  6 N 2.31-2.45
6 N 0.1159 0.1159 0.0000  1 B 1.46
7 N 0.5000 0.5000 0.0000  4 Er 2.45, 2 Dy 2.45
8 N 0.8841 0.8841 0.0000  1 B 1.46
9 Ni 0.7500 0.2500 0.5000  4 B 2.12
10 Ni 0.2500 0.7500 0.5000  4 B 2.12

Summary:
**Final energy**: -7.563 eV/atom